No. 1
Computed, not measured: crystalline Ho2ErHfSb4 at its relaxed geometry at the GGA-PBE level of DFT.

Cell and atoms, written as extended XYZ:
```
8
Lattice="7.427 0.000 0.000 0.000 4.285 0.000 -2.454 0.000 7.010" Properties=species:S:1:pos:R:3 pbc="T T T"
Ho 0.000 0.000 0.000
Ho 3.713 2.143 0.000
Er -1.227 2.143 3.505
Hf 2.487 0.000 3.505
Sb 0.070 0.000 5.211
Sb 1.296 2.143 1.834
Sb 3.678 2.143 5.176
Sb 4.903 0.000 1.799
```

* energy relative to the elements, uncorrected: -0.925 eV per atom
* V: 27.89 A^3/atom
* E_tot: -47.6 eV for the cell shown


No. 2
Computed, not measured: crystalline HoErHfTh at its relaxed geometry at the GGA-PBE level of DFT.

Cell and atoms, written as extended XYZ:
```
16
Lattice="7.699 0.000 0.000 0.000 7.699 0.000 0.000 0.000 7.699" Properties=species:S:1:pos:R:3 pbc="T T T"
Ho 0.000 0.000 0.000
Ho 0.000 3.849 3.849
Ho 3.849 0.000 3.849
Ho 3.849 3.849 0.000
Er 1.925 1.925 5.774
Er 1.925 5.774 1.925
Er 5.774 1.925 1.925
Er 5.774 5.774 5.774
Hf 1.925 1.925 1.925
Hf 1.925 5.774 5.774
Hf 5.774 1.925 5.774
Hf 5.774 5.774 1.925
Th 0.000 0.000 3.849
Th 0.000 3.849 0.000
Th 3.849 0.000 0.000
Th 3.849 3.849 3.849
```

* V: 28.52 A^3/atom
* E_tot: -102.9 eV for the cell shown
* ΔH_f (0 K): 0.20 eV/atom


No. 3
Computed, not measured: crystalline Ho3Er2Tm6Hf at its relaxed geometry at the GGA-PBE level of DFT.

Cell and atoms, written as extended XYZ:
```
12
Lattice="3.004 -5.194 0.000 3.004 5.194 0.000 -1.991 0.000 11.295" Properties=species:S:1:pos:R:3 pbc="T T T"
Ho 0.000 0.000 0.000
Ho 3.004 1.731 0.000
Ho 3.004 -1.731 0.000
Er 2.008 3.460 5.647
Er 2.008 -3.460 5.647
Tm 1.029 1.694 2.891
Tm 0.048 0.000 8.400
Tm 1.029 -1.694 2.891
Tm 2.987 1.694 8.403
Tm 3.968 0.000 2.895
Tm 2.987 -1.694 8.403
Hf 2.008 0.000 5.647
```

* V: 29.37 A^3/atom
* E_tot: -58.9 eV for the cell shown
* ΔH_f (0 K): 0.06 eV/atom


No. 4
Computed, not measured: crystalline Ho2Er6Tm3Hf at its relaxed geometry at the GGA-PBE level of DFT.

Cell and atoms, written as extended XYZ:
```
12
Lattice="3.007 -5.198 0.000 3.007 5.198 0.000 -1.991 0.000 11.314" Properties=species:S:1:pos:R:3 pbc="T T T"
Ho 3.007 3.464 0.000
Ho 3.007 -3.464 0.000
Er 0.032 1.697 8.541
Er 1.046 0.000 2.770
Er 0.032 -1.697 8.541
Er 3.990 1.697 2.773
Er 2.975 0.000 8.545
Er 3.990 -1.697 2.773
Tm -0.996 0.000 5.657
Tm 2.011 1.732 5.657
Tm 2.011 -1.732 5.657
Hf 3.007 0.000 0.000
```

* V: 29.47 A^3/atom
* E_tot: -59.2 eV for the cell shown
* ΔH_f (0 K): 0.06 eV/atom


No. 5
Computed, not measured: crystalline ErHfIn2 at its relaxed geometry at the GGA-PBE level of DFT.

Cell and atoms, written as extended XYZ:
```
4
Lattice="3.777 0.000 0.000 0.000 3.777 0.000 0.000 0.000 6.675" Properties=species:S:1:pos:R:3 pbc="T T T"
Er 0.000 0.000 0.000
Hf 0.000 0.000 3.338
In 1.888 1.888 1.779
In 1.888 1.888 4.897
```

* V: 23.80 A^3/atom
* E_tot: -20.7 eV for the cell shown
* ΔH_f (0 K): -0.19 eV/atom


No. 6
Computed, not measured: crystalline Er3Hf2In2 at its relaxed geometry at the GGA-PBE level of DFT.

Cell and atoms, written as extended XYZ:
```
14
Lattice="4.873 0.000 0.000 0.000 22.642 0.000 0.000 0.000 3.267" Properties=species:S:1:pos:R:3 pbc="T T T"
Er 0.000 0.000 0.000
Er 0.000 3.416 0.000
Er 0.000 19.225 0.000
Er 2.437 7.905 0.000
Er 2.437 11.321 0.000
Er 2.437 14.737 0.000
Hf 0.000 6.275 1.634
Hf 0.000 16.367 1.634
Hf 2.437 5.046 1.634
Hf 2.437 17.596 1.634
In 0.000 9.574 1.634
In 0.000 13.067 1.634
In 2.437 1.746 1.634
In 2.437 20.895 1.634
```

* V: 25.75 A^3/atom
* E_tot: -80.1 eV for the cell shown
* ΔH_f (0 K): -0.14 eV/atom